Run a
Material: Sm3Er2Tm8
Method: DFT, PBE
State: optimized geometry

CIF file:
```
data_Sm3Er2Tm8
_cell_length_a 7.6356
_cell_length_b 19.8734
_cell_length_c 5.5584
_cell_angle_alpha 90.00
_cell_angle_beta 90.00
_cell_angle_gamma 90.00
_space_group_name_H-M_alt 'C m m m'
_space_group_IT_number 65
_space_group_name_Hall '-C 2 2'
loop_
_atom_site_label
_atom_site_fract_x
_atom_site_fract_y
_atom_site_fract_z
Sm1 0.0000 0.0000 0.0000
Sm2 0.2092 0.5000 0.5000
Er1 0.0000 0.2407 0.0000
Tm1 0.0000 0.1345 0.5000
Tm2 0.0000 0.3292 0.5000
Tm3 0.2093 0.3900 0.0000
```

***

Run b
Material: Sm3Er2Tm8
Method: DFT, PBE
State: optimized geometry

CIF file:
```
data_Sm3Er2Tm8
_cell_length_a 4.9813
_cell_length_b 7.8845
_cell_length_c 10.5587
_cell_angle_alpha 85.69
_cell_angle_beta 76.37
_cell_angle_gamma 89.93
_space_group_name_H-M_alt 'P -1'
_space_group_IT_number 2
loop_
_space_group_symop_operation_xyz
'x,y,z'
'-x,-y,-z'
loop_
_atom_site_label
_atom_site_fract_x
_atom_site_fract_y
_atom_site_fract_z
Sm1 0.0000 0.0000 0.0000
Sm2 0.4610 0.6935 0.0775
Er1 0.2313 0.8460 0.5376
Tm1 0.0784 0.6142 0.8437
Tm2 0.1558 0.2312 0.6888
Tm3 0.3066 0.4607 0.3862
Tm4 0.3827 0.0785 0.2342
```

***

run b is the most stable structure; the next one sits 230 meV per atom above it.

***

Run a
Material: Sm2Er3Tm2
Method: DFT, PBE
State: optimized geometry

CIF file:
```
data_Sm2Er3Tm2
_cell_length_a 11.1526
_cell_length_b 5.0010
_cell_length_c 7.9071
_cell_angle_alpha 90.00
_cell_angle_beta 98.17
_cell_angle_gamma 90.00
_space_group_name_H-M_alt 'C 1 2/m 1'
_space_group_IT_number 12
loop_
_space_group_symop_operation_xyz
'x,y,z'
'-x,-y,-z'
'-x,y,-z'
'x,-y,z'
'x+1/2,y+1/2,z'
'-x+1/2,-y+1/2,-z'
'-x+1/2,y+1/2,-z'
'x+1/2,-y+1/2,z'
loop_
_atom_site_label
_atom_site_fract_x
_atom_site_fract_y
_atom_site_fract_z
Sm1 0.0717 0.0000 0.2157
Er1 0.0000 0.5000 0.5000
Er2 0.1430 0.5000 0.9284
Tm1 0.2139 0.0000 0.6428
```

***

Run b
Material: Sm2Er3Tm2
Method: DFT, PBE
State: optimized geometry

CIF file:
```
data_Sm2Er3Tm2
_cell_length_a 9.6600
_cell_length_b 9.6600
_cell_length_c 9.6600
_cell_angle_alpha 90.00
_cell_angle_beta 90.00
_cell_angle_gamma 90.00
_space_group_name_H-M_alt 'I 21 3'
_space_group_IT_number 199
_space_group_name_Hall 'I 2b 2c 3'
loop_
_atom_site_label
_atom_site_fract_x
_atom_site_fract_y
_atom_site_fract_z
Sm1 0.1548 0.3452 0.6548
Er1 0.0000 0.2500 0.3100
Tm1 0.0458 0.0458 0.0458
```

***

run a is the most stable structure; the next one sits 213 meV per atom above it.

***

Run a
Material: SmEr5Tm4
Method: DFT, PBE
State: optimized geometry

CIF file:
```
data_SmEr5Tm4
_cell_length_a 10.0660
_cell_length_b 10.0660
_cell_length_c 6.2654
_cell_angle_alpha 90.00
_cell_angle_beta 90.00
_cell_angle_gamma 90.00
_space_group_name_H-M_alt 'I 4'
_space_group_IT_number 79
loop_
_space_group_symop_operation_xyz
'x,y,z'
'-y,x,z'
'-x,-y,z'
'y,-x,z'
'x+1/2,y+1/2,z+1/2'
'-y+1/2,x+1/2,z+1/2'
'-x+1/2,-y+1/2,z+1/2'
'y+1/2,-x+1/2,z+1/2'
loop_
_atom_site_label
_atom_site_fract_x
_atom_site_fract_y
_atom_site_fract_z
Sm1 0.0000 0.0000 0.0000
Er1 0.0000 0.0000 0.4558
Er2 0.1428 0.7655 0.7262
Tm1 0.0509 0.6516 0.2286
```

***

Run b
Material: SmEr5Tm4
Method: DFT, PBE
State: optimized geometry

CIF file:
```
data_SmEr5Tm4
_cell_length_a 5.3623
_cell_length_b 6.9555
_cell_length_c 8.6624
_cell_angle_alpha 89.98
_cell_angle_beta 72.05
_cell_angle_gamma 89.95
_space_group_name_H-M_alt 'P 1'
_space_group_IT_number 1
loop_
_space_group_symop_operation_xyz
'x,y,z'
loop_
_atom_site_label
_atom_site_fract_x
_atom_site_fract_y
_atom_site_fract_z
Sm1 0.0000 0.0000 0.0000
Er1 0.9997 0.4992 0.0006
Er2 0.1997 0.4994 0.6012
Er3 0.3891 0.7476 0.2212
Er4 0.6105 0.7483 0.7793
Er5 0.7993 0.9995 0.4009
Tm1 0.2004 0.0002 0.5997
Tm2 0.3891 0.2509 0.2213
Tm3 0.6108 0.2510 0.7792
Tm4 0.8001 0.4986 0.3994
```

***

run b is the most stable structure; the next one sits 263 meV per atom above it.

***

Run a
Material: Sm4Er2Tm5
Method: DFT, PBE
State: optimized geometry

CIF file:
```
data_Sm4Er2Tm5
_cell_length_a 23.7855
_cell_length_b 3.4896
_cell_length_c 8.7821
_cell_angle_alpha 90.00
_cell_angle_beta 99.74
_cell_angle_gamma 90.00
_space_group_name_H-M_alt 'C 1 2/m 1'
_space_group_IT_number 12
loop_
_space_group_symop_operation_xyz
'x,y,z'
'-x,-y,-z'
'-x,y,-z'
'x,-y,z'
'x+1/2,y+1/2,z'
'-x+1/2,-y+1/2,-z'
'-x+1/2,y+1/2,-z'
'x+1/2,-y+1/2,z'
loop_
_atom_site_label
_atom_site_fract_x
_atom_site_fract_y
_atom_site_fract_z
Sm1 0.0276 0.0000 0.1940
Sm2 0.1292 0.5000 0.0335
Er1 0.1023 0.0000 0.6901
Tm1 0.0000 0.5000 0.5000
Tm2 0.1826 0.0000 0.4001
Tm3 0.2315 0.0000 0.8283
```

***

Run b
Material: Sm4Er2Tm5
Method: DFT, PBE
State: optimized geometry

CIF file:
```
data_Sm4Er2Tm5
_cell_length_a 19.0243
_cell_length_b 5.6121
_cell_length_c 6.5201
_cell_angle_alpha 90.00
_cell_angle_beta 91.28
_cell_angle_gamma 90.00
_space_group_name_H-M_alt 'C 1 2/m 1'
_space_group_IT_number 12
loop_
_space_group_symop_operation_xyz
'x,y,z'
'-x,-y,-z'
'-x,y,-z'
'x,-y,z'
'x+1/2,y+1/2,z'
'-x+1/2,-y+1/2,-z'
'-x+1/2,y+1/2,-z'
'x+1/2,-y+1/2,z'
loop_
_atom_site_label
_atom_site_fract_x
_atom_site_fract_y
_atom_site_fract_z
Sm1 0.0225 0.0000 0.2840
Sm2 0.1943 0.5000 0.0728
Er1 0.0987 0.5000 0.5547
Tm1 0.0000 0.5000 0.0000
Tm2 0.1304 0.0000 0.8870
Tm3 0.2090 0.0000 0.4015
```

***

run b is the most stable structure; the next one sits 122 meV per atom above it.

***

Run a
Material: Sm5Er2Tm3
Method: DFT, PBE
State: optimized geometry

CIF file:
```
data_Sm5Er2Tm3
_cell_length_a 9.3452
_cell_length_b 13.5175
_cell_length_c 10.8687
_cell_angle_alpha 90.00
_cell_angle_beta 90.00
_cell_angle_gamma 90.00
_space_group_name_H-M_alt 'I b a m'
_space_group_IT_number 72
_space_group_name_Hall '-I 2 2c'
loop_
_atom_site_label
_atom_site_fract_x
_atom_site_fract_y
_atom_site_fract_z
Sm1 0.0000 0.0000 0.2500
Sm2 0.0000 0.2526 0.2500
Sm3 0.1026 0.1273 0.0000
Er1 0.0870 0.3798 0.5000
Tm1 0.0000 0.5000 0.2500
Tm2 0.2482 0.1241 0.5000
```

***

Run b
Material: Sm5Er2Tm3
Method: DFT, PBE
State: optimized geometry

CIF file:
```
data_Sm5Er2Tm3
_cell_length_a 10.6569
_cell_length_b 15.2732
_cell_length_c 9.6885
_cell_angle_alpha 90.00
_cell_angle_beta 123.31
_cell_angle_gamma 90.00
_space_group_name_H-M_alt 'C 1 2/c 1'
_space_group_IT_number 15
loop_
_space_group_symop_operation_xyz
'x,y,z'
'-x,-y,-z'
'-x,y,-z+1/2'
'x,-y,z+1/2'
'x+1/2,y+1/2,z'
'-x+1/2,-y+1/2,-z'
'-x+1/2,y+1/2,-z+1/2'
'x+1/2,-y+1/2,z+1/2'
loop_
_atom_site_label
_atom_site_fract_x
_atom_site_fract_y
_atom_site_fract_z
Sm1 0.0000 0.0264 0.2500
Sm2 0.0000 0.2323 0.2500
Sm3 0.0000 0.2707 0.7500
Sm4 0.2374 0.3864 0.2267
Er1 0.1558 0.3818 0.5498
Tm1 0.0000 0.4694 0.7500
Tm2 0.1457 0.1221 0.0515
```

***

run b is the most stable structure; the next one sits 204 meV per atom above it.

***

Run a
Material: Sm5Er2Tm12
Method: DFT, PBE
State: optimized geometry

CIF file:
```
data_Sm5Er2Tm12
_cell_length_a 6.1051
_cell_length_b 9.3333
_cell_length_c 10.5763
_cell_angle_alpha 101.03
_cell_angle_beta 95.63
_cell_angle_gamma 90.03
_space_group_name_H-M_alt 'P -1'
_space_group_IT_number 2
loop_
_space_group_symop_operation_xyz
'x,y,z'
'-x,-y,-z'
loop_
_atom_site_label
_atom_site_fract_x
_atom_site_fract_y
_atom_site_fract_z
Sm1 0.0000 0.0000 0.0000
Sm2 0.1584 0.6316 0.9469
Sm3 0.2630 0.0530 0.5786
Er1 0.4202 0.6823 0.5262
Tm1 0.0537 0.2123 0.3166
Tm2 0.1043 0.4217 0.6309
Tm3 0.2109 0.8410 0.2632
Tm4 0.3167 0.2631 0.8949
Tm5 0.3693 0.4733 0.2116
Tm6 0.4743 0.8942 0.8417
```

***

Run b
Material: Sm5Er2Tm12
Method: DFT, PBE
State: optimized geometry

CIF file:
```
data_Sm5Er2Tm12
_cell_length_a 15.4135
_cell_length_b 9.2139
_cell_length_c 8.5262
_cell_angle_alpha 90.00
_cell_angle_beta 92.09
_cell_angle_gamma 90.00
_space_group_name_H-M_alt 'C 1 2/m 1'
_space_group_IT_number 12
loop_
_space_group_symop_operation_xyz
'x,y,z'
'-x,-y,-z'
'-x,y,-z'
'x,-y,z'
'x+1/2,y+1/2,z'
'-x+1/2,-y+1/2,-z'
'-x+1/2,y+1/2,-z'
'x+1/2,-y+1/2,z'
loop_
_atom_site_label
_atom_site_fract_x
_atom_site_fract_y
_atom_site_fract_z
Sm1 0.0000 0.0000 0.0000
Sm2 0.2066 0.5000 0.5172
Sm3 0.2309 0.0000 0.0714
Er1 0.0000 0.3260 0.5000
Tm1 0.0562 0.5000 0.8341
Tm2 0.0744 0.0000 0.3747
Tm3 0.1294 0.3102 0.1673
Tm4 0.1480 0.1790 0.7400
```

***

run a is the most stable structure; the next one sits 96 meV per atom above it.

***

Run a
Material: SmEr2Tm4
Method: DFT, PBE
State: optimized geometry

CIF file:
```
data_SmEr2Tm4
_cell_length_a 5.9739
_cell_length_b 8.3546
_cell_length_c 9.7444
_cell_angle_alpha 84.99
_cell_angle_beta 72.36
_cell_angle_gamma 69.11
_space_group_name_H-M_alt 'P 1'
_space_group_IT_number 1
loop_
_space_group_symop_operation_xyz
'x,y,z'
loop_
_atom_site_label
_atom_site_fract_x
_atom_site_fract_y
_atom_site_fract_z
Sm1 0.0000 0.0000 0.0000
Sm2 0.2918 0.1453 0.2805
Er1 0.1070 0.5722 0.1403
Er2 0.1213 0.5032 0.5007
Er3 0.3046 0.0725 0.6405
Er4 0.4052 0.6412 0.7797
Tm1 0.4791 0.2208 0.9162
Tm2 0.5186 0.7167 0.4183
Tm3 0.5469 0.7820 0.0636
Tm4 0.6827 0.3629 0.2172
Tm5 0.7283 0.2855 0.5633
Tm6 0.8592 0.8591 0.7180
Tm7 0.9102 0.9240 0.3636
Tm8 0.9341 0.4281 0.8615
```

***

Run b
Material: SmEr2Tm4
Method: DFT, PBE
State: optimized geometry

CIF file:
```
data_SmEr2Tm4
_cell_length_a 16.4328
_cell_length_b 3.4893
_cell_length_c 8.6355
_cell_angle_alpha 90.00
_cell_angle_beta 119.46
_cell_angle_gamma 90.00
_space_group_name_H-M_alt 'C 1 2/m 1'
_space_group_IT_number 12
loop_
_space_group_symop_operation_xyz
'x,y,z'
'-x,-y,-z'
'-x,y,-z'
'x,-y,z'
'x+1/2,y+1/2,z'
'-x+1/2,-y+1/2,-z'
'-x+1/2,y+1/2,-z'
'x+1/2,-y+1/2,z'
loop_
_atom_site_label
_atom_site_fract_x
_atom_site_fract_y
_atom_site_fract_z
Sm1 0.0000 0.0000 0.0000
Er1 0.0703 0.0000 0.4299
Tm1 0.1424 0.5000 0.8332
Tm2 0.2053 0.5000 0.2940
```

***

run b is the most stable structure; the next one sits 41 meV per atom above it.

***

Run a
Material: Sm5Er3Tm2
Method: DFT, PBE
State: optimized geometry

CIF file:
```
data_Sm5Er3Tm2
_cell_length_a 9.3478
_cell_length_b 13.5331
_cell_length_c 10.8778
_cell_angle_alpha 90.00
_cell_angle_beta 90.00
_cell_angle_gamma 90.00
_space_group_name_H-M_alt 'I b a m'
_space_group_IT_number 72
_space_group_name_Hall '-I 2 2c'
loop_
_atom_site_label
_atom_site_fract_x
_atom_site_fract_y
_atom_site_fract_z
Sm1 0.0000 0.0000 0.2500
Sm2 0.0000 0.2525 0.2500
Sm3 0.1038 0.1280 0.0000
Er1 0.0000 0.5000 0.2500
Er2 0.2477 0.1235 0.5000
Tm1 0.0848 0.3793 0.5000
```

***

Run b
Material: Sm5Er3Tm2
Method: DFT, PBE
State: optimized geometry

CIF file:
```
data_Sm5Er3Tm2
_cell_length_a 10.6591
_cell_length_b 15.2949
_cell_length_c 9.6812
_cell_angle_alpha 90.00
_cell_angle_beta 123.30
_cell_angle_gamma 90.00
_space_group_name_H-M_alt 'C 1 2/c 1'
_space_group_IT_number 15
loop_
_space_group_symop_operation_xyz
'x,y,z'
'-x,-y,-z'
'-x,y,-z+1/2'
'x,-y,z+1/2'
'x+1/2,y+1/2,z'
'-x+1/2,-y+1/2,-z'
'-x+1/2,y+1/2,-z+1/2'
'x+1/2,-y+1/2,z+1/2'
loop_
_atom_site_label
_atom_site_fract_x
_atom_site_fract_y
_atom_site_fract_z
Sm1 0.0000 0.0263 0.2500
Sm2 0.0000 0.2320 0.2500
Sm3 0.0000 0.2712 0.7500
Sm4 0.2355 0.3858 0.2242
Er1 0.0000 0.4694 0.7500
Er2 0.1448 0.1228 0.0509
Tm1 0.1564 0.3816 0.5498
```

***

run b is the most stable structure; the next one sits 203 meV per atom above it.

***

Run a
Material: Sm3Er6Tm2
Method: DFT, PBE
State: optimized geometry

CIF file:
```
data_Sm3Er6Tm2
_cell_length_a 4.7096
_cell_length_b 4.7096
_cell_length_c 32.9923
_cell_angle_alpha 90.00
_cell_angle_beta 90.00
_cell_angle_gamma 90.00
_space_group_name_H-M_alt 'I 4/m m m'
_space_group_IT_number 139
_space_group_name_Hall '-I 4 2'
loop_
_atom_site_label
_atom_site_fract_x
_atom_site_fract_y
_atom_site_fract_z
Sm1 0.0000 0.0000 0.0000
Sm2 0.0000 0.0000 0.2021
Er1 0.0000 0.0000 0.3062
Er2 0.0000 0.5000 0.1205
Tm1 0.0000 0.0000 0.4538
```

***

Run b
Material: Sm3Er6Tm2
Method: DFT, PBE
State: optimized geometry

CIF file:
```
data_Sm3Er6Tm2
_cell_length_a 5.6296
_cell_length_b 5.6296
_cell_length_c 41.4570
_cell_angle_alpha 90.00
_cell_angle_beta 90.00
_cell_angle_gamma 120.00
_space_group_name_H-M_alt 'R -3 m'
_space_group_IT_number 166
_space_group_name_Hall '-R 3 2"'
loop_
_atom_site_label
_atom_site_fract_x
_atom_site_fract_y
_atom_site_fract_z
Sm1 0.0000 0.0000 0.0000
Sm2 0.0000 0.0000 0.0714
Er1 0.0000 0.0000 0.1491
Er2 0.0000 0.0000 0.2280
Er3 0.0000 0.0000 0.3227
Tm1 0.0000 0.0000 0.4569
```

***

run a is the most stable structure; the next one sits 121 meV per atom above it.